Record 1
First-principles (GGA-PBE) data for Th4Tl5Ru2 after structural relaxation, as listed in Alexandria via LeMat-Bulk.

a = 8.211 Å, b = 3.771 Å, c = 9.752 Å
α = 90.00°, β = 93.40°, γ = 90.00°
Space group P2/m (No. 10)
Asymmetric unit:
Th: 0.188 0.000 0.338 (multiplicity 2)
Th: 0.206 0.000 0.934 (multiplicity 2)
Tl: 0.152 0.500 0.637 (multiplicity 2)
Tl: 0.464 0.500 0.164 (multiplicity 2)
Tl: 0.500 0.500 0.500 (multiplicity 1)
Ru: 0.095 0.500 0.136 (multiplicity 2)

## Properties
The electronic total energy comes out at -5.749 eV/atom. As for the calculated volume: 301.4 Å³ per cell. As for the formation energy: -0.29 eV per atom. The crystal system is monoclinic. Its density of states at the Fermi level is 9.26 states/eV/cell.

=====

Record 2
First-principles (GGA-PBE) data for Th4TlRu after structural relaxation, as listed in Alexandria via LeMat-Bulk.

a = 7.088 Å, b = 5.798 Å, c = 8.538 Å
α = 90.00°, β = 90.00°, γ = 90.00°
Space group Pmn2_1 (No. 31)
Asymmetric unit:
Th: 0.000 0.094 0.000 (multiplicity 2)
Th: 0.000 0.792 0.619 (multiplicity 2)
Th: 0.237 0.673 0.206 (multiplicity 4)
Tl: 0.000 0.219 0.373 (multiplicity 2)
Ru: 0.000 0.557 0.913 (multiplicity 2)

## Properties
The electronic total energy comes out at -6.884 eV/atom. As for the calculated volume: 350.9 Å³ per cell. As for the formation energy: 0.00 eV per atom. The crystal system is orthorhombic. Its density of states at the Fermi level is 19.24 states/eV/cell.

=====

Record 3
First-principles (GGA-PBE) data for Th4TlRu2 after structural relaxation, as listed in Alexandria via LeMat-Bulk.

a = 8.636 Å, b = 15.475 Å, c = 7.035 Å
α = 90.00°, β = 126.85°, γ = 90.00°
Space group Cc (No. 9)
Asymmetric unit:
Th: 0.000 0.021 0.000 (multiplicity 4)
Th: 0.246 0.280 0.208 (multiplicity 4)
Th: 0.420 0.282 0.847 (multiplicity 4)
Th: 0.498 0.079 0.168 (multiplicity 4)
Tl: 0.333 0.110 0.535 (multiplicity 4)
Ru: 0.104 0.164 0.809 (multiplicity 4)
Ru: 0.206 0.410 0.500 (multiplicity 4)

## Properties
The electronic total energy comes out at -7.555 eV/atom. As for the calculated volume: 752.4 Å³ per cell. As for the formation energy: -0.33 eV per atom. The crystal system is monoclinic. Its density of states at the Fermi level is 23.96 states/eV/cell.

=====

Record 4
First-principles (GGA-PBE) data for Th3Tl2Ru after structural relaxation, as listed in Alexandria via LeMat-Bulk.

a = 7.677 Å, b = 11.773 Å, c = 8.270 Å
α = 90.00°, β = 102.84°, γ = 90.00°
Space group C2/m (No. 12)
Asymmetric unit:
Th: 0.182 0.000 0.185 (multiplicity 4)
Th: 0.228 0.185 0.779 (multiplicity 8)
Tl: 0.000 0.000 0.500 (multiplicity 2)
Tl: 0.000 0.369 0.500 (multiplicity 4)
Tl: 0.000 0.500 0.000 (multiplicity 2)
Ru: 0.000 0.184 0.000 (multiplicity 4)

## Properties
The electronic total energy comes out at -6.219 eV/atom. As for the calculated volume: 728.8 Å³ per cell. As for the formation energy: -0.17 eV per atom. The crystal system is monoclinic. Its density of states at the Fermi level is 26.19 states/eV/cell.

=====

Record 5
First-principles (GGA-PBE) data for Th2TlRu after structural relaxation, as listed in Alexandria via LeMat-Bulk.

a = 3.399 Å, b = 3.399 Å, c = 8.926 Å
α = 90.00°, β = 90.00°, γ = 90.00°
Space group P4/mmm (No. 123)
Asymmetric unit:
Th: 0.000 0.000 0.209 (multiplicity 2)
Tl: 0.500 0.500 0.500 (multiplicity 1)
Ru: 0.500 0.500 0.000 (multiplicity 1)

## Properties
The electronic total energy comes out at -6.903 eV/atom. As for the calculated volume: 103.1 Å³ per cell. As for the formation energy: -0.28 eV per atom. The crystal system is tetragonal. Its density of states at the Fermi level is 3.73 states/eV/cell.

=====

Record 6
First-principles (GGA-PBE) data for Th2TlRu after structural relaxation, as listed in Alexandria via LeMat-Bulk.

a = 4.0636 Å, b = 4.0636 Å, c = 24.7263 Å
α = 90.00°, β = 90.00°, γ = 120.00°
Space group R-3m (No. 166, hexagonal axes)
Asymmetric unit:
Th: 0.0000 0.0000 0.2300 (multiplicity 6)
Tl: 0.0000 0.0000 0.0000 (multiplicity 3)
Ru: 0.0000 0.0000 0.5000 (multiplicity 3)

## Properties
The electronic total energy comes out at -6.943 eV/atom. As for the calculated volume: 353.6 Å³ per cell. As for the formation energy: -0.32 eV per atom. The crystal system is trigonal. Its density of states at the Fermi level is 11.72 states/eV/cell.

=====

Record 7
First-principles (GGA-PBE) data for Th6TlRu after structural relaxation, as listed in Alexandria via LeMat-Bulk.

a = 10.1068 Å, b = 10.1068 Å, c = 8.6633 Å
α = 90.00°, β = 90.00°, γ = 120.00°
Space group R-3m (No. 166, hexagonal axes)
Asymmetric unit:
Th: 0.0670 0.5335 0.3332 (multiplicity 18)
Tl: 0.0000 0.0000 0.0000 (multiplicity 3)
Ru: 0.0000 0.0000 0.5000 (multiplicity 3)

## Properties
The electronic total energy comes out at -6.976 eV/atom. As for the calculated volume: 766.4 Å³ per cell. As for the formation energy: 0.04 eV per atom. The crystal system is trigonal. Its density of states at the Fermi level is 27.57 states/eV/cell.

=====

Record 8
First-principles (GGA-PBE) data for ThTlRu after structural relaxation, as listed in Alexandria via LeMat-Bulk.

a = 10.766 Å, b = 11.926 Å, c = 6.948 Å
α = 90.00°, β = 90.00°, γ = 90.00°
Space group Ima2 (No. 46)
Asymmetric unit:
Th: 0.000 0.167 0.000 (multiplicity 8)
Th: 0.250 0.000 0.344 (multiplicity 4)
Tl: 0.250 0.000 0.852 (multiplicity 4)
Tl: 0.250 0.227 0.672 (multiplicity 4)
Tl: 0.250 0.728 0.172 (multiplicity 4)
Ru: 0.000 0.000 0.307 (multiplicity 4)
Ru: 0.000 0.117 0.649 (multiplicity 8)

## Properties
The electronic total energy comes out at -6.457 eV/atom. As for the calculated volume: 892.1 Å³ per cell. As for the formation energy: -0.10 eV per atom. The crystal system is orthorhombic. Its density of states at the Fermi level is 25.24 states/eV/cell.

=====

Record 9
First-principles (GGA-PBE) data for Th2TlRu after structural relaxation, as listed in Alexandria via LeMat-Bulk.

a = 4.0400 Å, b = 4.0400 Å, c = 25.2713 Å
α = 90.00°, β = 90.00°, γ = 120.00°
Space group R3m (No. 160, hexagonal axes)
Asymmetric unit:
Th: 0.0000 0.0000 0.0000 (multiplicity 3)
Th: 0.0000 0.0000 0.2085 (multiplicity 3)
Tl: 0.0000 0.0000 0.4362 (multiplicity 3)
Ru: 0.0000 0.0000 0.6055 (multiplicity 3)

## Properties
The electronic total energy comes out at -6.911 eV/atom. As for the calculated volume: 357.2 Å³ per cell. As for the formation energy: -0.29 eV per atom. The crystal system is trigonal. Its density of states at the Fermi level is 13.21 states/eV/cell.

=====

Record 10
First-principles (GGA-PBE) data for Th4Tl2Ru after structural relaxation, as listed in Alexandria via LeMat-Bulk.

a = 6.862 Å, b = 3.826 Å, c = 8.669 Å
α = 90.00°, β = 102.36°, γ = 90.00°
Space group P2/m (No. 10)
Asymmetric unit:
Th: 0.116 0.000 0.340 (multiplicity 2)
Th: 0.275 0.500 0.999 (multiplicity 2)
Tl: 0.394 0.500 0.647 (multiplicity 2)
Ru: 0.000 0.000 0.000 (multiplicity 1)

## Properties
The electronic total energy comes out at -6.238 eV/atom. As for the calculated volume: 222.3 Å³ per cell. As for the formation energy: 0.00 eV per atom. The crystal system is monoclinic. Its density of states at the Fermi level is 7.05 states/eV/cell.

=====

Record 11
First-principles (GGA-PBE) data for Th6Tl3Ru after structural relaxation, as listed in Alexandria via LeMat-Bulk.

a = 6.024 Å, b = 9.126 Å, c = 12.404 Å
α = 90.00°, β = 116.42°, γ = 90.00°
Space group P2_1/c (No. 14)
Asymmetric unit:
Th: 0.031 0.157 0.442 (multiplicity 4)
Th: 0.376 0.693 0.440 (multiplicity 4)
Th: 0.401 0.041 0.270 (multiplicity 4)
Tl: 0.000 0.000 0.000 (multiplicity 2)
Tl: 0.153 0.125 0.761 (multiplicity 4)
Ru: 0.500 0.000 0.500 (multiplicity 2)

## Properties
The electronic total energy comes out at -6.168 eV/atom. As for the calculated volume: 610.7 Å³ per cell. As for the formation energy: -0.08 eV per atom. The crystal system is monoclinic. Its density of states at the Fermi level is 23.23 states/eV/cell.

=====

Record 12
First-principles (GGA-PBE) data for Tm3Th3Tl2Ru after structural relaxation, as listed in Alexandria via LeMat-Bulk.

a = 8.7804 Å, b = 8.7804 Å, c = 3.7775 Å
α = 90.00°, β = 90.00°, γ = 120.00°
Space group P-62m (No. 189)
Asymmetric unit:
Tm: 0.0000 0.3966 0.0000 (multiplicity 3)
Th: 0.0000 0.7544 0.5000 (multiplicity 3)
Tl: 0.3333 0.6667 0.5000 (multiplicity 2)
Ru: 0.0000 0.0000 0.0000 (multiplicity 1)

## Properties
The electronic total energy comes out at -5.809 eV/atom. As for the calculated volume: 252.2 Å³ per cell. As for the formation energy: -0.29 eV per atom. The crystal system is hexagonal. Its density of states at the Fermi level is 8.08 states/eV/cell.